[1]
Pr2SnHg4: optimized geometry, GGA-PBE.

a = 6.408 Å, b = 6.408 Å, c = 6.718 Å
α = 118.49°, β = 118.49°, γ = 90.10°
Positions (direct):
Pr 0.286 0.786 0.571
Pr 0.786 0.286 0.571
Sn 0.786 0.786 0.571
Hg 0.786 0.786 0.072
Hg 0.286 0.286 0.071
Hg 0.786 0.286 0.071
Hg 0.286 0.786 0.071

Results
- calculated density (g/cm³) = 9.82
- raw total energy (eV/atom) = -2.46
- calculated volume (Å³ per atom) = 29.1
- space-group type = No. 12
- M_tot (Bohr magnetons per cell) = 0.000

[2]
ErU2Mn: optimized geometry, GGA-PBE.

a = 3.408 Å, b = 3.408 Å, c = 8.971 Å
α = 79.05°, β = 79.05°, γ = 60.00°
Site moments in Bohr magnetons follow the coordinates.
Positions (direct):
Mn 0.000 0.000 0.000  -0.33
U 0.271 0.271 0.187  0.78
U 0.729 0.729 0.813  0.78
Er 0.500 0.500 0.500  0.04

Results
- calculated density (g/cm³) = 13.17
- raw total energy (eV/atom) = -8.65
- calculated volume (Å³ per atom) = 22.0
- space-group type = No. 166
- M_tot (Bohr magnetons per cell) = 1.441

[3]
Co2HgBr: optimized geometry, GGA-PBE.

a = 4.535 Å, b = 4.535 Å, c = 4.535 Å
α = 60.00°, β = 60.00°, γ = 60.00°
Site moments in Bohr magnetons follow the coordinates.
Positions (direct):
Co 0.250 0.250 0.250  1.51
Co 0.750 0.750 0.750  1.51
Hg 0.500 0.500 0.500  -0.05
Br 0.000 0.000 0.000  0.07

Results
- ΔE_f (raw) (meV/atom) = 822.6
- energy above the most stable polymorph in this dataset (meV/atom) = 481
- calculated density (g/cm³) = 10.03
- calculated volume (Å³ per atom) = 16.5
- space-group type = No. 225
- M_tot (Bohr magnetons per cell) = 2.944

[4]
HfHgS2: optimized geometry, GGA-PBE.

a = 3.763 Å, b = 3.763 Å, c = 5.634 Å
α = 90.00°, β = 90.00°, γ = 90.00°
Positions (direct):
S 0.500 0.500 0.500
S 0.000 0.000 0.000
Hf 0.000 0.000 0.500
Hg 0.500 0.500 0.000

Results
- ΔE_f (raw) (meV/atom) = -436.0
- calculated density (g/cm³) = 9.23
- calculated volume (Å³ per atom) = 19.9
- space-group type = No. 123
- M_tot (Bohr magnetons per cell) = 0.000

[5]
YHoLu: optimized geometry, GGA-PBE.

a = 3.514 Å, b = 3.514 Å, c = 7.892 Å
α = 102.87°, β = 102.87°, γ = 90.00°
Positions (direct):
Y 0.001 0.001 0.001
Lu 0.668 0.668 0.336
Ho 0.332 0.332 0.663

Results
- energy above the most stable polymorph in this dataset (meV/atom) = 0
- calculated density (g/cm³) = 7.70
- calculated volume (Å³ per atom) = 30.8
- space-group type = No. 107
- M_tot (Bohr magnetons per cell) = 0.000

[6]
Sr2GaCl: optimized geometry, GGA-PBE.

a = 4.289 Å, b = 4.289 Å, c = 8.564 Å
α = 75.50°, β = 75.50°, γ = 60.00°
Positions (direct):
Sr 0.251 0.251 0.247
Sr 0.749 0.749 0.753
Ga 0.000 0.000 0.000
Cl 0.500 0.500 0.500

Results
- ΔE_f (raw) (meV/atom) = -1044.1
- energy above the most stable polymorph in this dataset (meV/atom) = 0
- calculated density (g/cm³) = 3.57
- calculated volume (Å³ per atom) = 32.7
- space-group type = No. 166
- M_tot (Bohr magnetons per cell) = 0.000